# PaFe2CoO6 PBE with a Hubbard U relaxed
# total energy = -7.50 eV/atom
data_PaFe2CoO6
_cell_length_a 5.499
_cell_length_b 5.378
_cell_length_c 9.704
_cell_angle_alpha 90.00
_cell_angle_beta 123.41
_cell_angle_gamma 90.00
_space_group_name_H-M_alt 'P 1 21/c 1'
_space_group_IT_number 14
_space_group_name_Hall '-P 2ybc'
loop_
_atom_site_label
_atom_site_fract_x
_atom_site_fract_y
_atom_site_fract_z
_atom_site_occupancy
Pa1 0.000 0.000 0.000 1
Fe1 0.257 0.033 0.769 1
Co1 0.500 0.000 0.500 1
O1 0.129 0.094 0.254 1
O2 0.259 0.674 0.085 1
O3 0.408 0.192 0.056 1